# 1
This record from Alexandria describes crystalline CaAsAu at its relaxed geometry. The functional is PBE-GGA.

abc: 5.0758 5.0758 5.8740
angles: 90.00 90.00 120.00
Element x y z (fractional)
As 0.3333 0.6667 0.7500
As 0.6667 0.3333 0.2500
Au 0.0000 0.0000 0.0000
Au 0.0000 0.0000 0.5000
Ca 0.3333 0.6667 0.2500
Ca 0.6667 0.3333 0.7500

Energy relative to the elements ... -12.753 kcal/mol of atoms
E ... -23.175 eV/cell
V ... 131.1 Å³ per cell
Space-group type ... P6_3/mmc (194)
Fermi-level density of states ... 0.582 states/eV/cell


# 2
This record from Alexandria describes crystalline CaAs2Au at its relaxed geometry. The functional is PBE-GGA.

abc: 3.7766 3.7766 6.3573
angles: 90.00 90.00 90.00
Element x y z (fractional)
As 0.0000 0.0000 0.0755
As 0.5000 0.5000 0.1989
Au 0.0000 0.0000 0.5019
Ca 0.5000 0.5000 0.7237

Energy relative to the elements ... -7.911 kcal/mol of atoms
E ... -15.950 eV/cell
V ... 90.7 Å³ per cell
Space-group type ... P4mm (99)
Fermi-level density of states ... 0.745 states/eV/cell


# 3
This record from Alexandria describes crystalline CaAsAu3 at its relaxed geometry. The functional is PBE-GGA.

abc: 5.2768 5.2768 5.2768
angles: 90.00 90.00 90.00
Element x y z (fractional)
As 0.5000 0.5000 0.5000
Au 0.0000 0.5000 0.0000
Au 0.0000 0.0000 0.5000
Au 0.5000 0.0000 0.0000
Ca 0.0000 0.0000 0.0000

Energy relative to the elements ... 19.724 kcal/mol of atoms
E ... -12.207 eV/cell
V ... 146.9 Å³ per cell
Space-group type ... Pm-3m (221)
E above lowest polymorph ... 5.12 eV per formula unit
Fermi-level density of states ... 5.061 states/eV/cell


# 4
This record from Alexandria describes crystalline CaAs2Au at its relaxed geometry. The functional is PBE-GGA.

abc: 4.0863 4.4159 5.4101
angles: 81.80 90.00 90.00
Element x y z (fractional)
As 0.0000 0.1305 0.9761
As 0.0000 0.3695 0.5239
Au 0.5000 0.2500 0.2500
Ca 0.5000 0.7500 0.7500

Energy relative to the elements ... -12.008 kcal/mol of atoms
E ... -16.661 eV/cell
V ... 96.6 Å³ per cell
Space-group type ... P2/m (10)
Fermi-level density of states ... 1.207 states/eV/cell


# 5
This record from Alexandria describes crystalline CaAsAu at its relaxed geometry. The functional is PBE-GGA.

abc: 5.6198 5.4920 3.7381
angles: 72.20 68.51 39.29
Element x y z (fractional)
As 0.9798 0.9798 0.0202
Au 0.3521 0.3521 0.6479
Ca 0.6682 0.6682 0.3318

Energy relative to the elements ... -10.256 kcal/mol of atoms
E ... -11.263 eV/cell
V ... 67.9 Å³ per cell
Space-group type ... Fmm2 (42)
Fermi-level density of states ... 1.843 states/eV/cell


# 6
This record from Alexandria describes crystalline CaAs2Au2 at its relaxed geometry. The functional is PBE-GGA.

abc: 7.5298 7.5298 3.7312
angles: 90.00 90.00 90.00
Element x y z (fractional)
As 0.3702 0.8702 0.0000
As 0.8702 0.6298 0.0000
As 0.6298 0.1298 0.0000
As 0.1298 0.3702 0.0000
Au 0.1766 0.6766 0.5000
Au 0.6766 0.8234 0.5000
Au 0.8234 0.3234 0.5000
Au 0.3234 0.1766 0.5000
Ca 0.0000 0.0000 0.0000
Ca 0.5000 0.5000 0.0000

Energy relative to the elements ... -5.445 kcal/mol of atoms
E ... -38.072 eV/cell
V ... 211.6 Å³ per cell
Space-group type ... P4/mbm (127)
Fermi-level density of states ... 3.124 states/eV/cell